Record 1
The following is a DFT calculation (PBE-GGA) of a relaxed structure of Pu2MgBe3Si4.

Cell lengths 3.987, 3.987, 9.924 Å; angles 90.00, 90.00, 90.00 degrees
Space group P-4m2 (No. 115)
Unique sites:
Pu: 0.000 0.500 0.229
Mg: 0.000 0.000 0.500
Be: 0.000 0.500 0.881
Be: 0.500 0.500 0.500
Si: 0.000 0.000 0.000
Si: 0.000 0.500 0.657
Si: 0.500 0.500 0.000

**Density of states at the Fermi level**: 16.9 states/eV/cell
**Crystal system**: tetragonal
**ΔE_f (raw)**: -254.6 meV/atom

Record 2
The following is a DFT calculation (PBE-GGA) of a relaxed structure of RbMgBe2.

Cell lengths 4.756, 4.756, 18.727 Å; angles 90.00, 90.00, 90.00 degrees
Space group I4_1/amd (No. 141, origin choice 2)
Unique sites:
Rb: 0.000 0.250 0.375
Mg: 0.000 0.250 0.875
Be: 0.000 0.000 0.000

**Density of states at the Fermi level**: 9.7 states/eV/cell
**Crystal system**: tetragonal

Record 3
The following is a DFT calculation (PBE-GGA) of a relaxed structure of Rb2MgBeSb2.

Cell lengths 6.647, 17.168, 6.658 Å; angles 90.00, 90.00, 90.00 degrees
Space group Ibam (No. 72)
Unique sites:
Rb: 0.238 0.173 0.000
Mg: 0.000 0.000 0.250
Be: 0.000 0.500 0.250
Sb: 0.216 0.414 0.000

**Crystal system**: orthorhombic
**ΔE_f (raw)**: -326.0 meV/atom

Record 4
The following is a DFT calculation (PBE-GGA) of a relaxed structure of RbMgBe2Sn.

Cell lengths 5.353, 5.353, 5.972 Å; angles 90.00, 90.00, 90.00 degrees
Space group P4/mmm (No. 123)
Unique sites:
Rb: 0.000 0.000 0.000
Mg: 0.000 0.000 0.500
Be: 0.000 0.500 0.000
Sn: 0.500 0.500 0.500

**Density of states at the Fermi level**: 4.6 states/eV/cell
**Crystal system**: tetragonal

Record 5
The following is a DFT calculation (PBE-GGA) of a relaxed structure of RbMg2TiBe.

Cell lengths 5.609, 5.609, 6.337 Å; angles 90.00, 90.00, 90.00 degrees
Space group P4/mmm (No. 123)
Unique sites:
Rb: 0.000 0.000 0.000
Mg: 0.000 0.500 0.500
Ti: 0.000 0.000 0.500
Be: 0.500 0.500 0.000

**Density of states at the Fermi level**: 5.7 states/eV/cell
**Crystal system**: tetragonal

Record 6
The following is a DFT calculation (PBE-GGA) of a relaxed structure of MgBe2Re.

Cell lengths 5.861, 5.861, 5.861 Å; angles 90.00, 90.00, 90.00 degrees
Space group F-43m (No. 216)
Unique sites:
Mg: 0.000 0.000 0.000
Be: 0.000 0.000 0.500
Be: 0.250 0.250 0.750
Re: 0.250 0.250 0.250

**Density of states at the Fermi level**: 12.1 states/eV/cell
**Crystal system**: cubic

Record 7
The following is a DFT calculation (PBE-GGA) of a relaxed structure of Mg2BeRe.

Cell lengths 2.691, 2.691, 8.454 Å; angles 90.00, 90.00, 90.00 degrees
Space group P4/mmm (No. 123)
Unique sites:
Mg: 0.000 0.000 0.231
Be: 0.500 0.500 0.000
Re: 0.500 0.500 0.500

**Density of states at the Fermi level**: 3.0 states/eV/cell
**Crystal system**: tetragonal

Record 8
The following is a DFT calculation (PBE-GGA) of a relaxed structure of Mg2BeRe.

Cell lengths 3.715, 3.715, 4.236 Å; angles 90.00, 90.00, 90.00 degrees
Space group P4/mmm (No. 123)
Unique sites:
Mg: 0.000 0.500 0.000
Be: 0.000 0.000 0.500
Re: 0.500 0.500 0.500

**Density of states at the Fermi level**: 1.4 states/eV/cell
**Crystal system**: tetragonal

| no. | electronic total energy (hartree per atom) |
| --- | --- |
| 1 | -0.2414 |
| 2 | -0.0609 |
| 3 | -0.1069 |
| 4 | -0.0334 |
| 5 | -0.0615 |
| 6 | -0.1759 |
| 7 | -0.1621 |
| 8 | -0.1636 |